TlP2Cl: relaxed, GGA-PBE.

abc: 10.5710 10.5710 10.5710
angles: 18.97 18.97 18.97
Last column: nearest neighbours and their distance in Å.
Element x y z (fractional)
Tl  0.0000  0.0000  0.0000  3 Cl 2.80
P  0.4914  0.4914  0.4914  3 P 2.34
P  0.7864  0.7864  0.7864  3 P 2.34
Cl  0.2706  0.2706  0.2706  3 Tl 2.80

Energy relative to the elements, uncorrected = -238 meV/atom
SG = R3m, No. 160